*one*
First-principles (GGA-PBE) data for a geometry-optimized Tb3Pm8Pr2 structure, as listed in Alexandria.

Results
DOS(E_F)	41.9	states/eV per cell
mass density	6.94	Mg/m³

a = 7.716 Å, b = 20.855 Å, c = 5.706 Å
α = 90.00°, β = 90.00°, γ = 90.00°
Space group Cmmm (No. 65)
Unique sites:
Tb  0.000  0.000  0.000 x2
Tb  0.214  0.500  0.500 x4
Pm  0.000  0.130  0.500 x4
Pm  0.000  0.333  0.500 x4
Pm  0.207  0.396  0.000 x8
Pr  0.000  0.240  0.000 x4



*two*
First-principles (GGA-PBE) data for a geometry-optimized Tb3Pm8Pr2 structure, as listed in Alexandria.

Results
DOS(E_F)	20.6	states/eV per cell
mass density	7.18	Mg/m³

a = 6.298 Å, b = 6.309 Å, c = 11.525 Å
α = 90.02°, β = 100.47°, γ = 99.59°
Space group P-1 (No. 2)
Unique sites:
Tb  0.000  0.000  0.000 x1
Tb  0.230  0.539  0.925 x2
Pm  0.077  0.844  0.304 x2
Pm  0.153  0.692  0.618 x2
Pm  0.308  0.382  0.227 x2
Pm  0.461  0.079  0.849 x2
Pr  0.384  0.231  0.539 x2



If we sort the structures by their calculated energies, the order from most to least stable is *two*, *one*.



*one*
First-principles (GGA-PBE) data for a geometry-optimized TbPm2Pr4 structure, as listed in Alexandria.

Results
DOS(E_F)	20.0	states/eV per cell
mass density	6.83	Mg/m³

a = 7.221 Å, b = 8.825 Å, c = 9.128 Å
α = 114.31°, β = 101.39°, γ = 101.86°
Space group P1 (No. 1)
Unique sites:
Tb  0.000  0.000  0.000 x1
Tb  0.108  0.565  0.869 x1
Pm  0.221  0.155  0.732 x1
Pm  0.500  0.000  0.001 x1
Pm  0.580  0.731  0.588 x1
Pm  0.900  0.439  0.156 x1
Pr  0.080  0.733  0.589 x1
Pr  0.192  0.322  0.452 x1
Pr  0.297  0.883  0.311 x1
Pr  0.396  0.440  0.156 x1
Pr  0.610  0.566  0.869 x1
Pr  0.694  0.322  0.450 x1
Pr  0.723  0.154  0.732 x1
Pr  0.799  0.882  0.312 x1



*two*
First-principles (GGA-PBE) data for a geometry-optimized TbPm2Pr4 structure, as listed in Alexandria.

Results
DOS(E_F)	41.2	states/eV per cell
mass density	6.83	Mg/m³

a = 5.8129 Å, b = 5.8129 Å, c = 25.2414 Å
α = 90.00°, β = 90.00°, γ = 120.00°
Space group R-3m (No. 166, hexagonal axes)
Unique sites:
Tb  0.0000  0.0000  0.0000 x3
Pm  0.0000  0.0000  0.1353 x6
Pr  0.0000  0.0000  0.2709 x6
Pr  0.0000  0.0000  0.4140 x6



If we sort the structures by their calculated energies, the order from most to least stable is *one*, *two*.



*one*
First-principles (GGA-PBE) data for a geometry-optimized Tb6Pm3Pr structure, as listed in Alexandria.

Results
DOS(E_F)	63.1	states/eV per cell
mass density	7.56	Mg/m³

a = 9.9657 Å, b = 9.9657 Å, c = 11.7221 Å
α = 90.00°, β = 90.00°, γ = 120.00°
Space group R3 (No. 146, hexagonal axes)
Unique sites:
Tb  0.9999  0.3269  0.0000 x9
Tb  0.9999  0.6742  0.5000 x9
Pm  0.0000  0.0000  0.2527 x3
Pm  0.0000  0.0000  0.5007 x3
Pm  0.0000  0.0000  0.7490 x3
Pr  0.0000  0.0000  0.0007 x3



*two*
First-principles (GGA-PBE) data for a geometry-optimized Tb6Pm3Pr structure, as listed in Alexandria.

Results
DOS(E_F)	58.2	states/eV per cell
mass density	7.58	Mg/m³

a = 11.053 Å, b = 19.066 Å, c = 6.360 Å
α = 90.00°, β = 90.00°, γ = 90.00°
Space group Cmc2_1 (No. 36)
Unique sites:
Tb  0.000  0.039  0.000 x4
Tb  0.000  0.275  0.227 x4
Tb  0.167  0.455  0.329 x8
Tb  0.240  0.291  0.502 x8
Pm  0.000  0.388  0.801 x4
Pm  0.176  0.113  0.412 x8
Pr  0.000  0.195  0.747 x4



If we sort the structures by their calculated energies, the order from most to least stable is *two*, *one*.



*one*
First-principles (GGA-PBE) data for a geometry-optimized TbPm5Pr2 structure, as listed in Alexandria.

Results
DOS(E_F)	24.0	states/eV per cell
mass density	7.02	Mg/m³

a = 7.310 Å, b = 14.632 Å, c = 5.159 Å
α = 90.00°, β = 90.00°, γ = 90.00°
Space group Pbam (No. 55)
Unique sites:
Tb  0.000  0.000  0.000 x2
Pm  0.000  0.500  0.000 x2
Pm  0.001  0.249  0.000 x4
Pm  0.249  0.624  0.500 x4
Pr  0.249  0.876  0.500 x4



*two*
First-principles (GGA-PBE) data for a geometry-optimized TbPm5Pr2 structure, as listed in Alexandria.

Results
DOS(E_F)	50.9	states/eV per cell
mass density	6.95	Mg/m³

a = 16.640 Å, b = 10.193 Å, c = 6.677 Å
α = 90.00°, β = 100.54°, γ = 90.00°
Space group C2/c (No. 15)
Unique sites:
Tb  0.250  0.250  0.000 x4
Pm  0.000  0.063  0.750 x4
Pm  0.098  0.410  0.655 x8
Pm  0.204  0.085  0.527 x8
Pr  0.083  0.257  0.134 x8



If we sort the structures by their calculated energies, the order from most to least stable is *one*, *two*.



*one*
First-principles (GGA-PBE) data for a geometry-optimized Tb3PmPr structure, as listed in Alexandria.

Results
DOS(E_F)	13.5	states/eV per cell
mass density	7.55	Mg/m³

a = 6.557 Å, b = 6.574 Å, c = 9.693 Å
α = 90.21°, β = 109.08°, γ = 119.85°
Space group P-1 (No. 2)
Unique sites:
Tb  0.049  0.485  0.188 x2
Tb  0.192  0.847  0.545 x2
Tb  0.369  0.358  0.813 x2
Pm  0.207  0.060  0.190 x2
Pr  0.500  0.000  0.000 x1
Pr  0.500  0.500  0.500 x1



*two*
First-principles (GGA-PBE) data for a geometry-optimized Tb3PmPr structure, as listed in Alexandria.

Results
DOS(E_F)	31.0	states/eV per cell
mass density	7.50	Mg/m³

a = 22.821 Å, b = 3.587 Å, c = 8.770 Å
α = 90.00°, β = 109.81°, γ = 90.00°
Space group C2/m (No. 12)
Unique sites:
Tb  0.031  0.000  0.324 x4
Tb  0.177  0.500  0.436 x4
Tb  0.227  0.000  0.147 x4
Pm  0.132  0.000  0.730 x4
Pr  0.079  0.500  0.024 x4



If we sort the structures by their calculated energies, the order from most to least stable is *two*, *one*.



*one*
First-principles (GGA-PBE) data for a geometry-optimized Tb4Pm4Pr3 structure, as listed in Alexandria.

Results
DOS(E_F)	36.4	states/eV per cell
mass density	7.14	Mg/m³

a = 10.816 Å, b = 5.799 Å, c = 12.158 Å
α = 90.00°, β = 90.00°, γ = 90.00°
Space group Amm2 (No. 38)
Unique sites:
Tb  0.000  0.000  0.000 x2
Tb  0.199  0.000  0.491 x4
Tb  0.500  0.000  0.941 x2
Pm  0.000  0.000  0.272 x2
Pm  0.288  0.000  0.138 x4
Pm  0.500  0.000  0.346 x2
Pr  0.207  0.000  0.795 x4
Pr  0.500  0.000  0.640 x2



*two*
First-principles (GGA-PBE) data for a geometry-optimized Tb4Pm4Pr3 structure, as listed in Alexandria.

Results
DOS(E_F)	31.0	states/eV per cell
mass density	7.06	Mg/m³

a = 3.641 Å, b = 9.528 Å, c = 22.226 Å
α = 90.00°, β = 90.00°, γ = 90.00°
Space group Immm (No. 71)
Unique sites:
Tb  0.000  0.000  0.241 x4
Tb  0.000  0.183  0.000 x4
Pm  0.000  0.322  0.146 x8
Pr  0.000  0.000  0.500 x2
Pr  0.000  0.500  0.391 x4



If we sort the structures by their calculated energies, the order from most to least stable is *two*, *one*.



*one*
First-principles (GGA-PBE) data for a geometry-optimized Tb12Pm7Pr structure, as listed in Alexandria.

Results
DOS(E_F)	55.7	states/eV per cell
mass density	6.92	Mg/m³

a = 11.369 Å, b = 11.369 Å, c = 11.369 Å
α = 90.00°, β = 90.00°, γ = 90.00°
Space group Im-3m (No. 229)
Unique sites:
Tb  0.000  0.251  0.251 x24
Pm  0.000  0.000  0.500 x6
Pm  0.250  0.250  0.250 x8
Pr  0.000  0.000  0.000 x2



*two*
First-principles (GGA-PBE) data for a geometry-optimized Tb12Pm7Pr structure, as listed in Alexandria.

Results
DOS(E_F)	56.8	states/eV per cell
mass density	7.58	Mg/m³

a = 12.9515 Å, b = 12.9515 Å, c = 13.8566 Å
α = 90.00°, β = 90.00°, γ = 120.00°
Space group R-3 (No. 148, hexagonal axes)
Unique sites:
Tb  0.0018  0.4346  0.2495 x18
Tb  0.0677  0.2010  0.3485 x18
Pm  0.0000  0.0000  0.5000 x3
Pm  0.0676  0.8658  0.8457 x18
Pr  0.0000  0.0000  0.0000 x3



If we sort the structures by their calculated energies, the order from most to least stable is *two*, *one*.



*one*
First-principles (GGA-PBE) data for a geometry-optimized Tb3Pm5Pr3 structure, as listed in Alexandria.

Results
DOS(E_F)	21.3	states/eV per cell
mass density	5.85	Mg/m³

a = 9.7274 Å, b = 9.7274 Å, c = 5.6282 Å
α = 90.00°, β = 90.00°, γ = 120.00°
Space group P-62m (No. 189)
Unique sites:
Tb  0.0000  0.2572  0.0000 x3
Pm  0.0000  0.6244  0.0000 x3
Pm  0.3333  0.6667  0.0000 x2
Pr  0.0000  0.4116  0.5000 x3



*two*
First-principles (GGA-PBE) data for a geometry-optimized Tb3Pm5Pr3 structure, as listed in Alexandria.

Results
DOS(E_F)	16.1	states/eV per cell
mass density	5.93	Mg/m³

a = 9.7873 Å, b = 9.7873 Å, c = 5.4819 Å
α = 90.00°, β = 90.00°, γ = 120.00°
Space group P-62m (No. 189)
Unique sites:
Tb  0.0000  0.5283  0.0000 x3
Pm  0.0000  0.7339  0.5000 x3
Pm  0.3333  0.6667  0.5000 x2
Pr  0.0000  0.3604  0.5000 x3



If we sort the structures by their calculated energies, the order from most to least stable is *one*, *two*.



*one*
First-principles (GGA-PBE) data for a geometry-optimized Tb6PmPr8 structure, as listed in Alexandria.

Results
DOS(E_F)	68.8	states/eV per cell
mass density	7.14	Mg/m³

a = 9.9198 Å, b = 9.9198 Å, c = 18.2259 Å
α = 90.00°, β = 90.00°, γ = 120.00°
Space group R-3 (No. 148, hexagonal axes)
Unique sites:
Tb  0.0391  0.2834  0.1771 x18
Pm  0.0000  0.0000  0.5000 x3
Pr  0.0000  0.0000  0.0855 x6
Pr  0.0545  0.2410  0.6709 x18



*two*
First-principles (GGA-PBE) data for a geometry-optimized Tb6PmPr8 structure, as listed in Alexandria.

Results
DOS(E_F)	23.3	states/eV per cell
mass density	6.97	Mg/m³

a = 12.8118 Å, b = 12.8118 Å, c = 3.7303 Å
α = 90.00°, β = 90.00°, γ = 120.00°
Space group P-3 (No. 147)
Unique sites:
Tb  0.1147  0.6269  0.0017 x6
Pm  0.0000  0.0000  0.0000 x1
Pr  0.0960  0.3248  0.4994 x6
Pr  0.3333  0.6667  0.5022 x2



If we sort the structures by their calculated energies, the order from most to least stable is *one*, *two*.